No. 1
Pm2InTe4 | PBE | relaxed

a = 8.4950 Å, b = 8.4950 Å, c = 7.9154 Å
α = 115.95°, β = 115.95°, γ = 30.36°
Positions (direct):
Pm (0.2386, 0.2386, 0.2235)
Pm (0.7614, 0.7614, 0.7765)
In (0.5000, 0.5000, 0.5000)
Te (0.1348, 0.1348, 0.4785)
Te (0.3807, 0.3807, 0.0532)
Te (0.6193, 0.6193, 0.9468)
Te (0.8652, 0.8652, 0.5215)

## Properties
- E_form (uncorrected): -1.0364 eV/atom
- Raw total energy: -4.580 eV/atom
- Density of states at the Fermi level: 2.5 states/eV per cell

=====

No. 2
CuTcTe2 | PBE | relaxed

a = 4.8138 Å, b = 4.8138 Å, c = 4.8138 Å
α = 60.00°, β = 60.00°, γ = 60.00°
Positions (direct):
Cu (0.0000, 0.0000, 0.0000)
Tc (0.2500, 0.2500, 0.2500)
Te (0.5000, 0.5000, 0.5000)
Te (0.7500, 0.7500, 0.7500)

## Properties
- E_form (uncorrected): 0.9088 eV/atom
- ΔE to the lowest computed polymorph: 772 meV/atom
- Raw total energy: -4.278 eV/atom
- Density of states at the Fermi level: 3.9 states/eV per cell

=====

No. 3
NbVBBr2 | PBE | relaxed

a = 5.0360 Å, b = 5.0360 Å, c = 5.2851 Å
α = 90.00°, β = 90.00°, γ = 90.00°
Positions (direct):
Nb (0.0000, 0.0000, 0.0000)
V (0.0000, 0.0000, 0.5000)
B (0.5000, 0.5000, 0.5000)
Br (0.0000, 0.5000, 0.0000)
Br (0.5000, 0.0000, 0.0000)

## Properties
- E_form (uncorrected): 1.4603 eV/atom
- Raw total energy: -4.382 eV/atom
- Density of states at the Fermi level: 3.3 states/eV per cell

=====

No. 4
Pa4Ge2H | PBE | relaxed

a = 8.3505 Å, b = 8.3505 Å, c = 8.3505 Å
α = 149.72°, β = 149.72°, γ = 43.35°
Positions (direct):
Pa (0.0000, 0.5000, 0.5000)
Pa (0.1686, 0.1686, 0.0000)
Pa (0.5000, 0.0000, 0.5000)
Pa (0.8314, 0.8314, 0.0000)
Ge (0.3594, 0.3594, 0.0000)
Ge (0.6406, 0.6406, 0.0000)
H (0.0000, 0.0000, 0.0000)

## Properties
- ΔE to the lowest computed polymorph: 52 meV/atom
- Raw total energy: -7.505 eV/atom
- Density of states at the Fermi level: 13.3 states/eV per cell

=====

No. 5
InTeOs2 | PBE | relaxed

a = 3.9975 Å, b = 3.9975 Å, c = 7.8905 Å
α = 94.34°, β = 94.34°, γ = 42.82°
Positions (direct):
In (0.0000, 0.0000, 0.0000)
Te (0.8027, 0.8027, 0.3446)
Os (0.2799, 0.2799, 0.7474)
Os (0.5410, 0.5410, 0.5870)

## Properties
- E_form (uncorrected): 0.5863 eV/atom
- ΔE to the lowest computed polymorph: 190 meV/atom
- Raw total energy: -6.499 eV/atom
- Density of states at the Fermi level: 3.7 states/eV per cell

=====

No. 6
Na3YNp3S8 | PBE | relaxed

a = 8.1178 Å, b = 8.1178 Å, c = 8.1178 Å
α = 59.14°, β = 59.14°, γ = 59.14°
Positions (direct):
Na (0.0000, 0.5000, 0.5000)
Na (0.5000, 0.0000, 0.5000)
Na (0.5000, 0.5000, 0.0000)
Y (0.5000, 0.5000, 0.5000)
Np (0.0000, 0.0000, 0.5000)
Np (0.0000, 0.5000, 0.0000)
Np (0.5000, 0.0000, 0.0000)
S (0.2390, 0.7409, 0.7409)
S (0.2413, 0.2413, 0.2413)
S (0.2591, 0.2591, 0.7610)
S (0.2591, 0.7610, 0.2591)
S (0.7409, 0.2390, 0.7409)
S (0.7409, 0.7409, 0.2390)
S (0.7587, 0.7587, 0.7587)
S (0.7610, 0.2591, 0.2591)

## Properties
- E_form (uncorrected): -1.4732 eV/atom
- Raw total energy: -6.957 eV/atom
- Density of states at the Fermi level: 28.7 states/eV per cell

=====

No. 7
KMo2As | PBE | relaxed

a = 6.1078 Å, b = 6.1078 Å, c = 6.1078 Å
α = 150.99°, β = 122.48°, γ = 65.69°
Positions (direct):
K (0.0000, 0.0000, 0.0000)
Mo (0.3097, 0.8097, 0.5000)
Mo (0.4869, 0.4869, 0.0000)
As (0.7098, 0.2098, 0.5000)

## Properties
- E_form: 0.942 eV/atom
- Raw total energy: -5.910 eV/atom
- Density of states at the Fermi level: 4.5 states/eV per cell

=====

No. 8
Ba2TbAuO5 | PBE | relaxed

a = 7.2940 Å, b = 7.2940 Å, c = 12.0841 Å
α = 90.00°, β = 90.00°, γ = 151.03°
Positions (direct):
Ba (0.0925, 0.9075, 0.5000)
Ba (0.1493, 0.8507, 0.1168)
Ba (0.8507, 0.1493, 0.6168)
Ba (0.9075, 0.0925, 0.0000)
Tb (0.2079, 0.7921, 0.8394)
Tb (0.7921, 0.2079, 0.3394)
Au (0.4783, 0.5217, 0.2632)
Au (0.5217, 0.4783, 0.7632)
O (0.0616, 0.9384, 0.8905)
O (0.2706, 0.7294, 0.4545)
O (0.3340, 0.6660, 0.2149)
O (0.3769, 0.6231, 0.8031)
O (0.4832, 0.5168, 0.5985)
O (0.5168, 0.4832, 0.0985)
O (0.6231, 0.3769, 0.3031)
O (0.6660, 0.3340, 0.7149)
O (0.7294, 0.2706, 0.9545)
O (0.9384, 0.0616, 0.3905)

## Properties
- E_form (uncorrected): -2.0697 eV/atom
- Raw total energy: -6.130 eV/atom

=====

- raw total energy of number 5 (InTeOs2)?
  -6.499 eV/atom